## YMn2O4 (GGA+U)

Data for an optimized crystal structure of YMn2O4.

a b c (Å): 10.336 3.196 10.033
angles (deg): 90.00 90.00 90.00
Space group Pca2_1 (No. 29)
Asymmetric unit:
1 Y 0.140 0.206 0.000
2 Mn 0.115 0.697 0.687
3 Mn 0.122 0.731 0.323
4 O 0.021 0.682 0.875
5 O 0.044 0.735 0.145
6 O 0.203 0.709 0.500
7 O 0.247 0.173 0.766

## Properties
For the total magnetic moment, the calculation gives 36.0 μB per cell. The calculation puts the total energy at -8.1772 eV per atom. As for the relative energy among the computed polymorphs: 0 meV/atom.